# 1
# GGA-PBE MgAlOs2, relaxed
data_MgAlOs2
_cell_length_a 4.760
_cell_length_b 4.760
_cell_length_c 4.760
_cell_angle_alpha 131.43
_cell_angle_beta 131.43
_cell_angle_gamma 71.13
_space_group_name_H-M_alt 'P 1'
_space_group_IT_number 1
loop_
_space_group_symop_operation_xyz
'x,y,z'
loop_
_atom_site_label
_atom_site_type_symbol
_atom_site_fract_x
_atom_site_fract_y
_atom_site_fract_z
Mg1 Mg 0.000 0.000 0.000
Al1 Al 0.500 0.500 0.000
Os1 Os 0.250 0.750 0.500
Os2 Os 0.750 0.250 0.500
# energy	-6.7910	eV per atom
# density of states at the Fermi level	1.149	states/eV/atom
# calculated formation energy	0.16	eV/atom

=====

# 2
# GGA-PBE MgAlOs2, relaxed
data_MgAlOs2
_cell_length_a 2.821
_cell_length_b 2.821
_cell_length_c 8.032
_cell_angle_alpha 90.00
_cell_angle_beta 90.00
_cell_angle_gamma 90.00
_space_group_name_H-M_alt 'P 1'
_space_group_IT_number 1
loop_
_space_group_symop_operation_xyz
'x,y,z'
loop_
_atom_site_label
_atom_site_type_symbol
_atom_site_fract_x
_atom_site_fract_y
_atom_site_fract_z
Mg1 Mg 0.000 0.000 0.000
Al1 Al 0.500 0.500 0.689
Os1 Os 0.000 0.000 0.465
Os2 Os 0.500 0.500 0.253
# energy	-7.0039	eV per atom
# density of states at the Fermi level	0.755	states/eV/atom
# calculated formation energy	-0.05	eV/atom

=====

# 3
# GGA-PBE Mg3AlOs, relaxed
data_Mg3AlOs
_cell_length_a 4.944
_cell_length_b 4.944
_cell_length_c 4.944
_cell_angle_alpha 90.00
_cell_angle_beta 90.00
_cell_angle_gamma 90.00
_space_group_name_H-M_alt 'P 1'
_space_group_IT_number 1
loop_
_space_group_symop_operation_xyz
'x,y,z'
loop_
_atom_site_label
_atom_site_type_symbol
_atom_site_fract_x
_atom_site_fract_y
_atom_site_fract_z
Mg1 Mg 0.000 0.000 0.500
Mg2 Mg 0.000 0.500 0.000
Mg3 Mg 0.500 0.000 0.000
Al1 Al 0.000 0.000 0.000
Os1 Os 0.500 0.500 0.500
# energy	-2.6330	eV per atom
# ΔE to the lowest computed polymorph	14.82	kcal/mol of atoms
# density of states at the Fermi level	0.363	states/eV/atom
# calculated formation energy	1.32	eV/atom

=====

# 4
# GGA-PBE MgAlOs, relaxed
data_MgAlOs
_cell_length_a 4.768
_cell_length_b 4.807
_cell_length_c 4.909
_cell_angle_alpha 73.52
_cell_angle_beta 70.16
_cell_angle_gamma 62.05
_space_group_name_H-M_alt 'P 1'
_space_group_IT_number 1
loop_
_space_group_symop_operation_xyz
'x,y,z'
loop_
_atom_site_label
_atom_site_type_symbol
_atom_site_fract_x
_atom_site_fract_y
_atom_site_fract_z
Mg1 Mg 0.102 0.366 0.250
Mg2 Mg 0.898 0.634 0.750
Al1 Al 0.255 0.944 0.765
Al2 Al 0.745 0.056 0.235
Os1 Os 0.430 0.713 0.273
Os2 Os 0.570 0.287 0.727
# energy	-5.6478	eV per atom
# density of states at the Fermi level	0.382	states/eV/atom
# calculated formation energy	-0.13	eV/atom

=====

# 5
# GGA-PBE MgAl3Os, relaxed
data_MgAl3Os
_cell_length_a 4.780
_cell_length_b 4.780
_cell_length_c 4.780
_cell_angle_alpha 90.00
_cell_angle_beta 90.00
_cell_angle_gamma 90.00
_space_group_name_H-M_alt 'P 1'
_space_group_IT_number 1
loop_
_space_group_symop_operation_xyz
'x,y,z'
loop_
_atom_site_label
_atom_site_type_symbol
_atom_site_fract_x
_atom_site_fract_y
_atom_site_fract_z
Mg1 Mg 0.000 0.000 0.000
Al1 Al 0.000 0.500 0.500
Al2 Al 0.500 0.000 0.500
Al3 Al 0.500 0.500 0.000
Os1 Os 0.500 0.500 0.500
# energy	-4.7335	eV per atom
# ΔE to the lowest computed polymorph	0.00	kcal/mol of atoms
# density of states at the Fermi level	0.406	states/eV/atom
# calculated formation energy	0.08	eV/atom

=====

# 6
# GGA-PBE MgAlOs, relaxed
data_MgAlOs
_cell_length_a 4.379
_cell_length_b 4.379
_cell_length_c 2.783
_cell_angle_alpha 90.00
_cell_angle_beta 90.00
_cell_angle_gamma 120.00
_space_group_name_H-M_alt 'P 1'
_space_group_IT_number 1
loop_
_space_group_symop_operation_xyz
'x,y,z'
loop_
_atom_site_label
_atom_site_type_symbol
_atom_site_fract_x
_atom_site_fract_y
_atom_site_fract_z
Mg1 Mg 0.000 0.000 0.000
Al1 Al 0.333 0.667 0.618
Os1 Os 0.667 0.333 0.418
# energy	-5.5922	eV per atom
# density of states at the Fermi level	0.561	states/eV/atom
# calculated formation energy	-0.07	eV/atom

=====

# 7
# GGA-PBE MgAlOs, relaxed
data_MgAlOs
_cell_length_a 5.026
_cell_length_b 5.026
_cell_length_c 5.353
_cell_angle_alpha 118.26
_cell_angle_beta 118.26
_cell_angle_gamma 52.95
_space_group_name_H-M_alt 'P 1'
_space_group_IT_number 1
loop_
_space_group_symop_operation_xyz
'x,y,z'
loop_
_atom_site_label
_atom_site_type_symbol
_atom_site_fract_x
_atom_site_fract_y
_atom_site_fract_z
Mg1 Mg 0.002 0.002 0.256
Mg2 Mg 0.998 0.998 0.744
Al1 Al 0.322 0.322 0.256
Al2 Al 0.678 0.678 0.744
Os1 Os 0.344 0.344 0.768
Os2 Os 0.656 0.656 0.232
# energy	-5.6356	eV per atom
# density of states at the Fermi level	0.369	states/eV/atom
# calculated formation energy	-0.11	eV/atom

=====

# 8
# GGA-PBE Mg3AlOs, relaxed
data_Mg3AlOs
_cell_length_a 4.983
_cell_length_b 4.983
_cell_length_c 4.983
_cell_angle_alpha 90.00
_cell_angle_beta 90.00
_cell_angle_gamma 90.00
_space_group_name_H-M_alt 'P 1'
_space_group_IT_number 1
loop_
_space_group_symop_operation_xyz
'x,y,z'
loop_
_atom_site_label
_atom_site_type_symbol
_atom_site_fract_x
_atom_site_fract_y
_atom_site_fract_z
Mg1 Mg 0.000 0.000 0.500
Mg2 Mg 0.000 0.500 0.000
Mg3 Mg 0.500 0.000 0.000
Al1 Al 0.500 0.500 0.500
Os1 Os 0.000 0.000 0.000
# energy	-3.2757	eV per atom
# ΔE to the lowest computed polymorph	0.00	kcal/mol of atoms
# density of states at the Fermi level	0.493	states/eV/atom
# calculated formation energy	0.68	eV/atom

=====

# 9
# GGA-PBE MgAlOs2, relaxed
data_MgAlOs2
_cell_length_a 5.754
_cell_length_b 5.754
_cell_length_c 5.754
_cell_angle_alpha 101.14
_cell_angle_beta 101.14
_cell_angle_gamma 127.86
_space_group_name_H-M_alt 'P 1'
_space_group_IT_number 1
loop_
_space_group_symop_operation_xyz
'x,y,z'
loop_
_atom_site_label
_atom_site_type_symbol
_atom_site_fract_x
_atom_site_fract_y
_atom_site_fract_z
Mg1 Mg 0.000 0.000 0.000
Mg2 Mg 0.750 0.250 0.500
Al1 Al 0.250 0.750 0.500
Al2 Al 0.500 0.500 0.000
Os1 Os 0.174 0.625 0.049
Os2 Os 0.375 0.424 0.549
Os3 Os 0.576 0.125 0.951
Os4 Os 0.875 0.826 0.451
# energy	-6.2992	eV per atom
# density of states at the Fermi level	1.294	states/eV/atom
# calculated formation energy	0.65	eV/atom

=====

# 10
# GGA-PBE MgAlOs, relaxed
data_MgAlOs
_cell_length_a 7.838
_cell_length_b 7.838
_cell_length_c 4.988
_cell_angle_alpha 90.00
_cell_angle_beta 90.00
_cell_angle_gamma 140.68
_space_group_name_H-M_alt 'P 1'
_space_group_IT_number 1
loop_
_space_group_symop_operation_xyz
'x,y,z'
loop_
_atom_site_label
_atom_site_type_symbol
_atom_site_fract_x
_atom_site_fract_y
_atom_site_fract_z
Mg1 Mg 0.202 0.798 0.893
Mg2 Mg 0.298 0.702 0.393
Mg3 Mg 0.702 0.298 0.607
Mg4 Mg 0.798 0.202 0.107
Al1 Al 0.212 0.288 0.250
Al2 Al 0.288 0.212 0.750
Al3 Al 0.712 0.788 0.250
Al4 Al 0.788 0.712 0.750
Os1 Os 0.107 0.893 0.363
Os2 Os 0.393 0.607 0.863
Os3 Os 0.607 0.393 0.137
Os4 Os 0.893 0.107 0.637
# energy	-5.5102	eV per atom
# density of states at the Fermi level	0.842	states/eV/atom
# calculated formation energy	0.01	eV/atom

=====

# 11
# GGA-PBE MgAlOs2, relaxed
data_MgAlOs2
_cell_length_a 3.062
_cell_length_b 3.062
_cell_length_c 6.350
_cell_angle_alpha 90.00
_cell_angle_beta 90.00
_cell_angle_gamma 90.00
_space_group_name_H-M_alt 'P 1'
_space_group_IT_number 1
loop_
_space_group_symop_operation_xyz
'x,y,z'
loop_
_atom_site_label
_atom_site_type_symbol
_atom_site_fract_x
_atom_site_fract_y
_atom_site_fract_z
Mg1 Mg 0.000 0.000 0.000
Al1 Al 0.500 0.500 0.723
Os1 Os 0.000 0.000 0.507
Os2 Os 0.500 0.500 0.245
# energy	-6.8815	eV per atom
# density of states at the Fermi level	0.964	states/eV/atom
# calculated formation energy	0.07	eV/atom

=====

# 12
# GGA-PBE MgAlOsPd, relaxed
data_MgAlOsPd
_cell_length_a 4.354
_cell_length_b 4.354
_cell_length_c 4.354
_cell_angle_alpha 60.00
_cell_angle_beta 60.00
_cell_angle_gamma 60.00
_space_group_name_H-M_alt 'P 1'
_space_group_IT_number 1
loop_
_space_group_symop_operation_xyz
'x,y,z'
loop_
_atom_site_label
_atom_site_type_symbol
_atom_site_fract_x
_atom_site_fract_y
_atom_site_fract_z
Mg1 Mg 0.000 0.000 0.000
Al1 Al 0.500 0.500 0.500
Os1 Os 0.250 0.250 0.250
Pd1 Pd 0.750 0.750 0.750
# energy	-5.8304	eV per atom
# density of states at the Fermi level	0.573	states/eV/atom
# calculated formation energy	-0.39	eV/atom